--- w ---
This record from Alexandria via LeMat-Bulk describes an optimized crystal structure of Tb4Pr3Er2. The functional is PBE-GGA.

abc: 6.221 6.231 9.531
angles: 108.91 90.16 119.91
Space group P-1 (No. 2)
One atom of each set of equivalent atoms:
Tb: 0.164 0.331 0.000 [2 per cell]
Tb: 0.277 0.887 0.333 [2 per cell]
Pr: 0.387 0.443 0.666 [2 per cell]
Pr: 0.500 0.000 0.000 [1 per cell]
Er: 0.054 0.776 0.666 [2 per cell]

The value obtained for the total moment is 0.00 μB/cell.

***

--- x ---
This record from Alexandria via LeMat-Bulk describes an optimized crystal structure of Tb4Pr3Er2. The functional is PBE-GGA.

abc: 16.704 11.765 6.086
angles: 90.00 97.82 90.00
Space group C2/c (No. 15)
One atom of each set of equivalent atoms:
Tb: 0.050 0.132 0.021 [8 per cell]
Tb: 0.217 0.372 0.857 [8 per cell]
Pr: 0.000 0.393 0.750 [4 per cell]
Pr: 0.167 0.110 0.584 [8 per cell]
Er: 0.115 0.367 0.312 [8 per cell]

The value obtained for the total moment is 0.00 μB/cell.

***

Tell me which of them is the most stable. Sure, it is w.

***

--- w ---
This record from Alexandria via LeMat-Bulk describes an optimized crystal structure of Tb2PrEr9. The functional is PBE-GGA.

abc: 4.995 4.995 14.982
angles: 90.00 90.00 90.00
Space group P4/mmm (No. 123)
One atom of each set of equivalent atoms:
Tb: 0.000 0.000 0.166 [2 per cell]
Pr: 0.000 0.000 0.500 [1 per cell]
Er: 0.000 0.500 0.000 [2 per cell]
Er: 0.000 0.500 0.331 [4 per cell]
Er: 0.500 0.500 0.165 [2 per cell]
Er: 0.500 0.500 0.500 [1 per cell]

The value obtained for the total moment is 0.00 μB/cell.

***

--- x ---
This record from Alexandria via LeMat-Bulk describes an optimized crystal structure of Tb2PrEr9. The functional is PBE-GGA.

abc: 11.1598 11.1598 3.5023
angles: 90.00 90.00 120.00
Space group P6/mmm (No. 191)
One atom of each set of equivalent atoms:
Tb: 0.3333 0.6667 0.0000 [2 per cell]
Pr: 0.0000 0.0000 0.0000 [1 per cell]
Er: 0.0000 0.5000 0.0000 [3 per cell]
Er: 0.1782 0.3565 0.5000 [6 per cell]

The value obtained for the total moment is 0.00 μB/cell.

***

Tell me which of them is the most stable. Sure, it is w.

***

--- w ---
This record from Alexandria via LeMat-Bulk describes an optimized crystal structure of Tb2Pr3Er2. The functional is PBE-GGA.

abc: 17.687 3.533 8.594
angles: 90.00 118.56 90.00
Space group C2/m (No. 12)
One atom of each set of equivalent atoms:
Tb: 0.064 0.000 0.410 [4 per cell]
Pr: 0.000 0.500 0.000 [2 per cell]
Pr: 0.214 0.500 0.297 [4 per cell]
Er: 0.143 0.500 0.823 [4 per cell]

The value obtained for the total moment is 0.01 μB/cell.

***

--- x ---
This record from Alexandria via LeMat-Bulk describes an optimized crystal structure of Tb2Pr3Er2. The functional is PBE-GGA.

abc: 3.566 8.633 8.828
angles: 62.07 89.97 78.08
Space group P-1 (No. 2)
One atom of each set of equivalent atoms:
Tb: 0.070 0.360 0.431 [2 per cell]
Pr: 0.000 0.500 0.000 [1 per cell]
Pr: 0.294 0.912 0.712 [2 per cell]
Er: 0.362 0.778 0.166 [2 per cell]

The value obtained for the total moment is 0.00 μB/cell.

***

Tell me which of them is the most stable. Sure, it is x.

***

--- w ---
This record from Alexandria via LeMat-Bulk describes an optimized crystal structure of Tb8Pr2Er. The functional is PBE-GGA.

abc: 18.270 5.067 8.018
angles: 90.00 105.30 90.00
Space group C2/m (No. 12)
One atom of each set of equivalent atoms:
Tb: 0.044 0.000 0.228 [4 per cell]
Tb: 0.089 0.500 0.952 [4 per cell]
Tb: 0.135 0.000 0.677 [4 per cell]
Tb: 0.181 0.500 0.408 [4 per cell]
Pr: 0.227 0.000 0.138 [4 per cell]
Er: 0.000 0.500 0.500 [2 per cell]

The value obtained for the total moment is 0.00 μB/cell.

***

--- x ---
This record from Alexandria via LeMat-Bulk describes an optimized crystal structure of Tb8Pr2Er. The functional is PBE-GGA.

abc: 9.058 16.169 5.925
angles: 90.00 122.78 90.00
Space group C2/m (No. 12)
One atom of each set of equivalent atoms:
Tb: 0.000 0.207 0.000 [4 per cell]
Tb: 0.076 0.500 0.797 [4 per cell]
Tb: 0.214 0.115 0.673 [8 per cell]
Pr: 0.000 0.307 0.500 [4 per cell]
Er: 0.000 0.000 0.000 [2 per cell]

The value obtained for the total moment is 0.00 μB/cell.

***

Tell me which of them is the most stable. Sure, it is w.

***

--- w ---
This record from Alexandria via LeMat-Bulk describes an optimized crystal structure of Tb3Pr6Er. The functional is PBE-GGA.

abc: 6.198 9.522 13.328
angles: 90.00 117.42 90.00
Space group P2_1/c (No. 14)
One atom of each set of equivalent atoms:
Tb: 0.000 0.000 0.000 [2 per cell]
Tb: 0.141 0.179 0.750 [4 per cell]
Pr: 0.076 0.655 0.080 [4 per cell]
Pr: 0.378 0.533 0.750 [4 per cell]
Pr: 0.416 0.657 0.420 [4 per cell]
Er: 0.500 0.000 0.500 [2 per cell]

The value obtained for the total moment is 0.00 μB/cell.

***

--- x ---
This record from Alexandria via LeMat-Bulk describes an optimized crystal structure of Tb3Pr6Er. The functional is PBE-GGA.

abc: 10.999 19.462 6.470
angles: 90.00 90.00 90.00
Space group Cmc2_1 (No. 36)
One atom of each set of equivalent atoms:
Tb: 0.000 0.115 0.000 [4 per cell]
Tb: 0.170 0.384 0.615 [8 per cell]
Pr: 0.000 0.220 0.425 [4 per cell]
Pr: 0.000 0.466 0.204 [4 per cell]
Pr: 0.170 0.042 0.532 [8 per cell]
Pr: 0.229 0.210 0.724 [8 per cell]
Er: 0.000 0.307 0.972 [4 per cell]

The value obtained for the total moment is 0.00 μB/cell.

***

Tell me which of them is the most stable. Sure, it is x.

***

--- w ---
This record from Alexandria via LeMat-Bulk describes an optimized crystal structure of Tb6Pr3Er2. The functional is PBE-GGA.

abc: 3.5949 3.5949 96.4800
angles: 90.00 90.00 120.00
Space group R-3m (No. 166, hexagonal axes)
One atom of each set of equivalent atoms:
Tb: 0.0000 0.0000 0.0926 [6 per cell]
Tb: 0.0000 0.0000 0.1816 [6 per cell]
Tb: 0.0000 0.0000 0.3641 [6 per cell]
Pr: 0.0000 0.0000 0.0000 [3 per cell]
Pr: 0.0000 0.0000 0.2717 [6 per cell]
Er: 0.0000 0.0000 0.4555 [6 per cell]

The value obtained for the total moment is 0.00 μB/cell.

***

--- x ---
This record from Alexandria via LeMat-Bulk describes an optimized crystal structure of Tb6Pr3Er2. The functional is PBE-GGA.

abc: 4.784 4.784 33.349
angles: 90.00 90.00 90.00
Space group I4/mmm (No. 139)
One atom of each set of equivalent atoms:
Tb: 0.000 0.000 0.192 [4 per cell]
Tb: 0.000 0.500 0.119 [8 per cell]
Pr: 0.000 0.000 0.296 [4 per cell]
Pr: 0.000 0.000 0.500 [2 per cell]
Er: 0.000 0.000 0.046 [4 per cell]

The value obtained for the total moment is 0.00 μB/cell.

***

Tell me which of them is the most stable. Sure, it is w.